No. 1
A relaxed TaSn2N crystal. Source: OQMD, functional PBE.

Cell lengths 3.1733, 3.1733, 15.3155 Å; angles 90.00, 90.00, 120.00 degrees
Space group P6_3/mmc (No. 194)
Unique sites:
Ta 0.3333 0.6667 0.2500 [2 per cell]
Sn 0.3333 0.6667 0.5992 [4 per cell]
N 0.0000 0.0000 0.0000 [2 per cell]

---

No. 2
A relaxed DyUTc2 crystal. Source: OQMD, functional PBE.

Cell lengths 3.3669, 3.3669, 6.9936 Å; angles 90.00, 90.00, 90.00 degrees
Space group P4/mmm (No. 123)
Unique sites:
Dy 0.0000 0.0000 0.0000 [1 per cell]
U 0.0000 0.0000 0.5000 [1 per cell]
Tc 0.5000 0.5000 0.2927 [2 per cell]

Computed properties:
DFT formation energy   -0.617 eV/f.u.

---

No. 3
A relaxed LuAlPt crystal. Source: OQMD, functional PBE.

Cell lengths 6.5052, 6.5052, 6.5052 Å; angles 90.00, 90.00, 90.00 degrees
Space group F-43m (No. 216)
Unique sites:
Lu 0.0000 0.0000 0.0000 [4 per cell]
Al 0.2500 0.2500 0.7500 [4 per cell]
Pt 0.2500 0.2500 0.2500 [4 per cell]

---

No. 4
A relaxed AcAlMo crystal. Source: OQMD, functional PBE.

Cell lengths 6.8574, 6.8574, 6.8574 Å; angles 90.00, 90.00, 90.00 degrees
Space group F-43m (No. 216)
Unique sites:
Ac 0.0000 0.0000 0.0000 [4 per cell]
Al 0.2500 0.2500 0.2500 [4 per cell]
Mo 0.0000 0.0000 0.5000 [4 per cell]

Computed properties:
Relative energy among the computed polymorphs   0.00 kcal/mol of atoms

---

No. 5
A relaxed CoHgBiW crystal. Source: OQMD, functional PBE.

Cell lengths 6.6470, 6.6470, 6.6470 Å; angles 90.00, 90.00, 90.00 degrees
Space group F-43m (No. 216)
Unique sites:
Co 0.0000 0.0000 0.0000 [4 per cell]
Hg 0.2500 0.2500 0.2500 [4 per cell]
Bi 0.2500 0.2500 0.7500 [4 per cell]
W 0.0000 0.0000 0.5000 [4 per cell]

Computed properties:
Relative energy among the computed polymorphs   0.00 kcal/mol of atoms

---

No. 6
A relaxed PrDy3Y2CoTe2 crystal. Source: OQMD, functional PBE.

Cell lengths 3.9577, 14.5985, 8.4067 Å; angles 90.00, 90.00, 90.00 degrees
Space group Amm2 (No. 38)
Unique sites:
Pr 0.0000 0.0000 0.0000 [2 per cell]
Dy 0.5000 0.0000 0.6426 [2 per cell]
Dy 0.5000 0.1160 0.2905 [4 per cell]
Y 0.0000 0.1992 0.6077 [4 per cell]
Co 0.0000 0.0000 0.4184 [2 per cell]
Te 0.5000 0.1710 0.9061 [4 per cell]

---

Electronic total energy, record by record: -6.60 -9.31 -4.97 -5.48 -5.09 -5.68 eV per atom